No. 1
Computed, not measured: PmCu8Pd3 after structural relaxation at the PBE level of DFT.

Results
- M_tot (μB/cell) = 0.00
- E (eV/f.u.) = -55.283
- formation energy (eV per formula unit) = -2.2

```
PmCu8Pd3
1.0
4.9416 0.0000 0.0000
-2.4708 4.2795 0.0000
0.0000 0.0000 8.0780
Pm Cu Pd
1 8 3
direct
0.0000 0.0000 0.5664 Pm
0.3333 0.6667 0.4979 Cu
0.3333 0.6667 0.9983 Cu
0.5035 0.0069 0.7626 Cu
0.5035 0.4965 0.7626 Cu
0.9931 0.4965 0.7626 Cu
0.1650 0.3300 0.2394 Cu
0.1650 0.8350 0.2394 Cu
0.6700 0.8350 0.2394 Cu
0.6667 0.3333 0.4221 Pd
0.6667 0.3333 0.0646 Pd
0.0000 0.0000 0.9447 Pd
```


No. 2
Computed, not measured: PmPrCuPd after structural relaxation at the PBE level of DFT.

Results
- M_tot (μB/cell) = 0.00
- E (eV/f.u.) = -20.784
- formation energy (eV per formula unit) = -2.0

```
PmPrCuPd
1.0
3.8958 0.0000 0.0000
0.0000 4.6137 0.0000
-1.9479 0.0000 5.4371
Pm Pr Cu Pd
1 1 1 1
direct
0.1375 0.0000 0.2750 Pm
0.8609 0.5000 0.7219 Pr
0.4253 0.0000 0.8506 Cu
0.5763 0.5000 0.1525 Pd
```


No. 3
Computed, not measured: PmPrCuPd after structural relaxation at the PBE level of DFT.

Results
- M_tot (μB/cell) = 0.00
- E (eV/f.u.) = -20.560
- formation energy (eV per formula unit) = -1.7

```
PmPrCuPd
1.0
5.1155 0.0000 0.0000
2.5578 4.4302 0.0000
2.5578 1.4767 4.1768
Pr Cu Pd Pm
1 1 1 1
direct
0.5000 0.5000 0.5000 Pr
0.2500 0.2500 0.2500 Cu
0.7500 0.7500 0.7500 Pd
0.0000 0.0000 0.0000 Pm
```


No. 4
Computed, not measured: PmCuPdPt after structural relaxation at the PBE level of DFT.

Results
- M_tot (μB/cell) = 0.00
- E (eV/f.u.) = -22.242
- formation energy (eV per formula unit) = -2.2

```
PmCuPdPt
1.0
-0.2720 -0.3590 -4.7025
-3.7827 -2.0006 -2.0012
-3.0857 2.6549 -2.3970
Cu Pd Pt Pm
1 1 1 1
direct
0.7500 0.7500 0.7500 Cu
0.0000 0.0000 0.0000 Pd
0.5000 0.5000 0.5000 Pt
0.2500 0.2500 0.2500 Pm
```


No. 5
Computed, not measured: Pm2CuPd2Pt5 after structural relaxation at the PBE level of DFT.

Results
- M_tot (μB/cell) = 0.00
- E (eV/f.u.) = -60.564
- formation energy (eV per formula unit) = -6.4

```
Pm2CuPd2Pt5
1.0
4.1397 0.0000 0.0000
0.0000 9.4371 0.0000
0.0000 0.0000 9.4371
Pm Cu Pd Pt
4 2 4 10
direct
0.0000 0.6744 0.1744 Pm
0.0000 0.3256 0.8256 Pm
0.0000 0.1744 0.3256 Pm
0.0000 0.8256 0.6744 Pm
0.0000 0.0000 0.0000 Cu
0.0000 0.5000 0.5000 Cu
0.0000 0.1250 0.6250 Pd
0.0000 0.8750 0.3750 Pd
0.0000 0.6250 0.8750 Pd
0.0000 0.3750 0.1250 Pd
0.5000 0.1981 0.0587 Pt
0.5000 0.8019 0.9413 Pt
0.5000 0.0587 0.8019 Pt
0.5000 0.6981 0.4413 Pt
0.5000 0.9413 0.1981 Pt
0.5000 0.3019 0.5587 Pt
0.5000 0.5587 0.6981 Pt
0.5000 0.4413 0.3019 Pt
0.5000 0.5000 0.0000 Pt
0.5000 0.0000 0.5000 Pt
```


No. 6
Computed, not measured: PmCuPdRh after structural relaxation at the PBE level of DFT.

Results
- M_tot (μB/cell) = 0.00
- E (eV/f.u.) = -22.962
- formation energy (eV per formula unit) = -1.6

```
PmCuPdRh
1.0
-1.5466 4.3715 -0.4131
-3.8548 0.8829 -2.4565
-3.9013 1.3046 2.1796
Rh Cu Pd Pm
1 1 1 1
direct
0.5000 0.5000 0.5000 Rh
0.2500 0.2500 0.2500 Cu
0.0000 0.0000 0.0000 Pd
0.7500 0.7500 0.7500 Pm
```


No. 7
Computed, not measured: Pm2CuSb3Pd4 after structural relaxation at the PBE level of DFT.

Results
- M_tot (μB/cell) = 0.00
- E (eV/f.u.) = -54.310
- formation energy without anion corrections (eV/atom) = -0.76

```
Pm2CuSb3Pd4
1.0
4.4950 0.0000 0.0000
0.0000 4.4950 0.0000
0.0000 0.0000 10.5990
Pm Cu Sb Pd
2 1 3 4
direct
0.5000 0.0000 0.2495 Pm
0.0000 0.5000 0.7505 Pm
0.5000 0.5000 0.5000 Cu
0.0000 0.0000 0.5000 Sb
0.5000 0.0000 0.8618 Sb
0.0000 0.5000 0.1382 Sb
0.5000 0.5000 0.0000 Pd
0.0000 0.0000 0.0000 Pd
0.5000 0.0000 0.6202 Pd
0.0000 0.5000 0.3798 Pd
```


No. 8
Computed, not measured: Pm2CuSiPd6 after structural relaxation at the PBE level of DFT.

Results
- M_tot (μB/cell) = 0.00
- E (eV/f.u.) = -56.011
- formation energy without anion corrections (eV/atom) = -0.58

```
Pm2CuSiPd6
1.0
5.6870 0.0350 -0.0230
-0.0520 7.7505 -1.4368
2.8423 2.8477 4.0205
Pm Cu Si Pd
2 1 1 6
direct
0.7098 0.1260 0.5805 Pm
0.2902 0.8740 0.4195 Pm
0.0000 0.0000 0.0000 Cu
0.5000 0.5000 0.0000 Si
0.2551 0.2751 0.4897 Pd
0.7437 0.7235 0.0247 Pd
0.2321 0.7237 0.0249 Pd
0.7679 0.2763 0.9751 Pd
0.2563 0.2765 0.9753 Pd
0.7449 0.7249 0.5103 Pd
```


No. 9
Computed, not measured: Pm3Cu2Si6Pd after structural relaxation at the PBE level of DFT.

Results
- M_tot (μB/cell) = 0.00
- E (eV/f.u.) = -64.183
- formation energy without anion corrections (eV/atom) = -0.33

```
Pm3Cu2Si6Pd
1.0
5.8671 0.0000 0.0000
-2.9336 5.0811 0.0000
0.0000 0.0000 7.8819
Pm Cu Si Pd
3 2 6 1
direct
0.3333 0.6667 0.6403 Pm
0.6667 0.3333 0.3597 Pm
0.0000 0.0000 0.0000 Pm
0.6667 0.3333 0.9682 Cu
0.3333 0.6667 0.0318 Cu
0.6102 0.8051 0.2895 Si
0.1949 0.3898 0.2895 Si
0.1949 0.8051 0.2895 Si
0.8051 0.6102 0.7105 Si
0.3898 0.1949 0.7105 Si
0.8051 0.1949 0.7105 Si
0.0000 0.0000 0.5000 Pd
```


No. 10
Computed, not measured: PmCuSi2Pd after structural relaxation at the PBE level of DFT.

Results
- M_tot (μB/cell) = 0.00
- E (eV/f.u.) = -28.752
- formation energy without anion corrections (eV/atom) = -0.77

```
PmCuSi2Pd
1.0
-2.4038 3.2941 0.6305
-2.1535 -0.9212 -3.3972
-0.8614 -4.0051 4.1381
Pm Cu Si Pd
1 1 2 1
direct
0.0000 0.0000 0.0000 Pm
0.2500 0.7500 0.5000 Cu
0.6179 0.6179 0.2359 Si
0.3821 0.3821 0.7641 Si
0.7500 0.2500 0.5000 Pd
```


No. 11
Computed, not measured: Pm2CuSi3Pd4 after structural relaxation at the PBE level of DFT.

Results
- M_tot (μB/cell) = 0.00
- E (eV/f.u.) = -58.780
- formation energy without anion corrections (eV/atom) = -0.81

```
Pm2CuSi3Pd4
1.0
-1.0673 2.2279 3.5169
-4.1605 -0.4415 -0.9829
-0.3364 -8.2783 5.1420
Pm Cu Si Pd
2 1 3 4
direct
0.5000 0.0000 0.2585 Pm
0.0000 0.5000 0.7415 Pm
0.5000 0.5000 0.5000 Cu
0.0000 0.0000 0.5000 Si
0.5000 0.0000 0.8734 Si
0.0000 0.5000 0.1266 Si
0.5000 0.5000 0.0000 Pd
0.0000 0.0000 0.0000 Pd
0.5000 0.0000 0.6298 Pd
0.0000 0.5000 0.3702 Pd
```


No. 12
Computed, not measured: PmCu2SiPd after structural relaxation at the PBE level of DFT.

Results
- M_tot (μB/cell) = 0.00
- E (eV/f.u.) = -26.053
- formation energy without anion corrections (eV/atom) = -0.50

```
PmCu2SiPd
1.0
4.0235 0.0000 0.0000
0.0000 4.1682 0.0000
-2.0118 -2.0841 5.1559
Pm Cu Si Pd
1 2 1 1
direct
0.4435 0.4435 0.8870 Pm
0.7010 0.2010 0.4020 Cu
0.0485 0.0485 0.0969 Cu
0.8225 0.8225 0.6449 Si
0.1967 0.6967 0.3934 Pd
```


No. 13
Computed, not measured: PmSmCuPd after structural relaxation at the PBE level of DFT.

Results
- M_tot (μB/cell) = 0.00
- E (eV/f.u.) = -20.845
- formation energy (eV per formula unit) = -2.1

```
PmSmCuPd
1.0
3.8502 0.0000 0.0000
0.0000 4.5948 0.0000
-1.9251 0.0000 5.3671
Pm Sm Cu Pd
1 1 1 1
direct
0.8612 0.5000 0.7225 Pm
0.1382 0.0000 0.2763 Sm
0.4240 0.0000 0.8481 Cu
0.5765 0.5000 0.1531 Pd
```


No. 14
Computed, not measured: PmSmCuPd after structural relaxation at the PBE level of DFT.

Results
- M_tot (μB/cell) = 0.00
- E (eV/f.u.) = -20.652
- formation energy (eV per formula unit) = -1.9

```
PmSmCuPd
1.0
5.0640 0.0000 0.0000
2.5320 4.3855 0.0000
2.5320 1.4618 4.1347
Cu Pd Sm Pm
1 1 1 1
direct
0.2500 0.2500 0.2500 Cu
0.7500 0.7500 0.7500 Pd
0.5000 0.5000 0.5000 Sm
0.0000 0.0000 0.0000 Pm
```


No. 15
Computed, not measured: PmCuSnPd after structural relaxation at the PBE level of DFT.

Results
- M_tot (μB/cell) = 0.00
- E (eV/f.u.) = -20.428
- formation energy (eV per formula unit) = -2.4

```
PmCuSnPd
1.0
4.8335 0.0000 0.0000
2.4167 4.1859 0.0000
2.4167 1.3953 3.9465
Cu Sn Pd Pm
1 1 1 1
direct
0.5000 0.5000 0.5000 Cu
0.2500 0.2500 0.2500 Sn
0.0000 0.0000 0.0000 Pd
0.7500 0.7500 0.7500 Pm
```


No. 16
Computed, not measured: Pm2CuSn3Pd4 after structural relaxation at the PBE level of DFT.

Results
- M_tot (μB/cell) = 0.00
- E (eV/f.u.) = -53.073
- formation energy (eV per formula unit) = -6.7

```
Pm2CuSn3Pd4
1.0
-3.5189 2.1470 -1.6697
-2.2644 -0.8002 3.7433
3.6939 9.3453 4.2321
Pm Cu Sn Pd
2 1 3 4
direct
0.5000 0.0000 0.2620 Pm
0.0000 0.5000 0.7380 Pm
0.5000 0.5000 0.5000 Cu
0.0000 0.0000 0.5000 Sn
0.5000 0.0000 0.8658 Sn
0.0000 0.5000 0.1342 Sn
0.5000 0.5000 0.0000 Pd
0.0000 0.0000 0.0000 Pd
0.5000 0.0000 0.6286 Pd
0.0000 0.5000 0.3714 Pd
```


No. 17
Computed, not measured: Pm2Cu3Sn4Pd after structural relaxation at the PBE level of DFT.

Results
- M_tot (μB/cell) = 0.00
- E (eV/f.u.) = -47.859
- formation energy (eV per formula unit) = -4.9

```
Pm2Cu3Sn4Pd
1.0
-4.2235 -1.1972 -0.8601
1.4508 -2.9130 -3.0693
0.6296 -7.6534 7.5612
Pm Cu Sn Pd
2 3 4 1
direct
0.5000 0.0000 0.2573 Pm
0.0000 0.5000 0.7427 Pm
0.0000 0.0000 0.5000 Cu
0.5000 0.0000 0.8654 Cu
0.0000 0.5000 0.1346 Cu
0.5000 0.5000 0.0000 Sn
0.0000 0.0000 0.0000 Sn
0.5000 0.0000 0.6315 Sn
0.0000 0.5000 0.3685 Sn
0.5000 0.5000 0.5000 Pd
```


No. 18
Computed, not measured: PmCuSn4Pd2 after structural relaxation at the PBE level of DFT.

Results
- M_tot (μB/cell) = 0.00
- E (eV/f.u.) = -38.370
- formation energy (eV per formula unit) = -3.1

```
PmCuSn4Pd2
1.0
4.7290 0.0000 0.0000
2.3645 4.0954 0.0000
2.3645 1.3651 8.9235
Pm Cu Sn Pd
1 1 4 2
direct
0.0000 0.0000 0.0000 Pm
0.5000 0.5000 0.5000 Cu
0.3958 0.3958 0.8127 Sn
0.8694 0.8694 0.3918 Sn
0.1306 0.1306 0.6082 Sn
0.6042 0.6042 0.1873 Sn
0.7542 0.7542 0.7374 Pd
0.2458 0.2458 0.2626 Pd
```


No. 19
Computed, not measured: Pm2CuSn4Pd3 after structural relaxation at the PBE level of DFT.

Results
- M_tot (μB/cell) = 0.00
- E (eV/f.u.) = -51.897
- formation energy (eV per formula unit) = -6.7

```
Pm2CuSn4Pd3
1.0
-2.2859 0.0298 -3.8900
-3.0804 -2.7692 1.7890
-5.7750 8.6594 3.4601
Pm Cu Sn Pd
2 1 4 3
direct
0.5000 0.0000 0.2661 Pm
0.0000 0.5000 0.7339 Pm
0.5000 0.5000 0.5000 Cu
0.5000 0.5000 0.0000 Sn
0.0000 0.0000 0.0000 Sn
0.5000 0.0000 0.6278 Sn
0.0000 0.5000 0.3722 Sn
0.0000 0.0000 0.5000 Pd
0.5000 0.0000 0.8652 Pd
0.0000 0.5000 0.1348 Pd
```


No. 20
Computed, not measured: SrPmCuPd after structural relaxation at the PBE level of DFT.

Results
- M_tot (μB/cell) = 0.00
- E (eV/f.u.) = -17.024
- formation energy (eV per formula unit) = -1.3

```
SrPmCuPd
1.0
5.1659 0.0000 0.0000
2.5830 4.4738 0.0000
2.5830 1.4913 4.2180
Sr Cu Pd Pm
1 1 1 1
direct
0.5000 0.5000 0.5000 Sr
0.2500 0.2500 0.2500 Cu
0.7500 0.7500 0.7500 Pd
0.0000 0.0000 0.0000 Pm
```


No. 21
Computed, not measured: TbPmCuPd after structural relaxation at the PBE level of DFT.

Results
- M_tot (μB/cell) = 0.00
- E (eV/f.u.) = -20.859
- formation energy (eV per formula unit) = -2.2

```
TbPmCuPd
1.0
3.8020 0.0000 0.0000
0.0000 4.5618 0.0000
-1.9010 0.0000 5.3416
Tb Pm Cu Pd
1 1 1 1
direct
0.1373 0.0000 0.2746 Tb
0.8602 0.5000 0.7205 Pm
0.4239 0.0000 0.8479 Cu
0.5785 0.5000 0.1571 Pd
```


No. 22
Computed, not measured: TbPmCuPd after structural relaxation at the PBE level of DFT.

Results
- M_tot (μB/cell) = 0.00
- E (eV/f.u.) = -20.697
- formation energy (eV per formula unit) = -2.0

```
TbPmCuPd
1.0
5.0217 0.0000 0.0000
2.5108 4.3489 0.0000
2.5108 1.4496 4.1002
Tb Cu Pd Pm
1 1 1 1
direct
0.0000 0.0000 0.0000 Tb
0.2500 0.2500 0.2500 Cu
0.7500 0.7500 0.7500 Pd
0.5000 0.5000 0.5000 Pm
```


No. 23
Computed, not measured: PmCuTePd after structural relaxation at the PBE level of DFT.

Results
- M_tot (μB/cell) = 0.00
- E (eV/f.u.) = -19.065
- formation energy without anion corrections (eV/atom) = -0.47

```
PmCuTePd
1.0
-3.7934 -0.2620 3.1175
0.8125 -0.4545 4.8282
-0.9645 3.7586 3.0200
Te Cu Pd Pm
1 1 1 1
direct
0.5000 0.5000 0.5000 Te
0.2500 0.2500 0.2500 Cu
0.7500 0.7500 0.7500 Pd
0.0000 0.0000 0.0000 Pm
```


No. 24
Computed, not measured: PmYCuPd after structural relaxation at the PBE level of DFT.

Results
- M_tot (μB/cell) = 0.00
- E (eV/f.u.) = -22.711
- formation energy (eV per formula unit) = -2.2

```
PmYCuPd
1.0
-1.3133 1.2813 3.3478
-0.3246 -4.3143 1.5239
5.6061 -0.3645 0.1620
Pm Y Cu Pd
1 1 1 1
direct
0.1395 0.0000 0.2790 Pm
0.8624 0.5000 0.7249 Y
0.4224 0.0000 0.8448 Cu
0.5757 0.5000 0.1514 Pd
```


No. 25
Computed, not measured: PmYCuPd after structural relaxation at the PBE level of DFT.

Results
- M_tot (μB/cell) = 0.00
- E (eV/f.u.) = -22.546
- formation energy (eV per formula unit) = -2.0

```
PmYCuPd
1.0
-2.8886 1.4356 -3.8461
-4.8287 1.1327 0.7736
-1.5455 4.7640 -0.3367
Y Cu Pd Pm
1 1 1 1
direct
0.7500 0.7500 0.7500 Y
0.0000 0.0000 0.0000 Cu
0.5000 0.5000 0.5000 Pd
0.2500 0.2500 0.2500 Pm
```


No. 26
Computed, not measured: Pm2Zn4CuPd3 after structural relaxation at the PBE level of DFT.

Results
- M_tot (μB/cell) = 0.00
- E (eV/f.u.) = -39.344
- formation energy (eV per formula unit) = -5.1

```
Pm2Zn4CuPd3
1.0
-2.9752 -2.5343 1.5804
2.6827 -1.2872 2.9863
-3.3249 7.8856 6.3857
Pm Zn Cu Pd
2 4 1 3
direct
0.5000 0.0000 0.2544 Pm
0.0000 0.5000 0.7456 Pm
0.5000 0.5000 0.0000 Zn
0.0000 0.0000 0.0000 Zn
0.5000 0.0000 0.6275 Zn
0.0000 0.5000 0.3725 Zn
0.5000 0.5000 0.5000 Cu
0.0000 0.0000 0.5000 Pd
0.5000 0.0000 0.8615 Pd
0.0000 0.5000 0.1385 Pd
```